# 1
## GeAuN2O (PBE)

Data for a relaxed structure of GeAuN2O.

Cell: 3.9308 3.9308 3.6954 Å, 90.00 90.00 90.00°
Fractional positions:
Ge1 0.0000 0.0000 0.0000
Au1 0.5000 0.5000 0.5000
O1 0.0000 0.0000 0.5000
N1 0.0000 0.5000 0.0000
N2 0.5000 0.0000 0.0000

Output
Raw formation energy = 1.0363 eV per atom
Space group = No. 123

***

# 2
## KNaFe2Br6 (PBE)

Data for a relaxed structure of KNaFe2Br6.

Cell: 9.5162 9.5162 7.6254 Å, 102.28 102.28 83.57°
Fractional positions:
K1 0.1862 0.8138 0.2500
K2 0.8138 0.1862 0.7500
Na1 0.5953 0.4047 0.2500
Na2 0.4047 0.5953 0.7500
Fe1 0.3009 0.1207 0.7615
Fe2 0.8793 0.6991 0.7385
Fe3 0.6991 0.8793 0.2385
Fe4 0.1207 0.3009 0.2615
Br1 0.8842 0.4044 0.1550
Br2 0.5956 0.1158 0.3450
Br3 0.1158 0.5956 0.8450
Br4 0.4044 0.8842 0.6550
Br5 0.1749 0.1015 0.0100
Br6 0.8985 0.8251 0.4900
Br7 0.8251 0.8985 0.9900
Br8 0.1015 0.1749 0.5100
Br9 0.2998 0.4765 0.3548
Br10 0.5235 0.7002 0.1452
Br11 0.7002 0.5235 0.6452
Br12 0.4765 0.2998 0.8548

Output
Raw formation energy = -0.8961 eV per atom
Space group = No. 15

***

# 3
## Pm6Ru2Pt (PBE)

Data for a relaxed structure of Pm6Ru2Pt.

Cell: 8.5244 8.5244 8.5244 Å, 106.77 110.77 110.91°
Fractional positions:
Pm1 0.5515 0.7295 0.8220
Pm2 0.4485 0.2705 0.1780
Pm3 0.0925 0.2705 0.8220
Pm4 0.9075 0.7295 0.1780
Pm5 0.8124 0.7508 0.5632
Pm6 0.1876 0.2492 0.4368
Pm7 0.1876 0.7508 0.9384
Pm8 0.8124 0.2492 0.0616
Pm9 0.6859 0.3564 0.6705
Pm10 0.3141 0.6436 0.3295
Pm11 0.3141 0.9846 0.6705
Pm12 0.6859 0.0154 0.3295
Ru1 0.5000 0.3774 0.8774
Ru2 0.5000 0.6226 0.1226
Ru3 0.6749 0.0000 0.6749
Ru4 0.3251 0.0000 0.3251
Pt1 0.0000 0.5000 0.5000
Pt2 0.0000 0.0000 0.0000

Output
Formation energy from the elements = -3.574 eV/f.u.
Space group = No. 71

***

# 4
## BaGe2PO8 (PBE)

Data for a relaxed structure of BaGe2PO8.

Cell: 5.1765 5.1765 8.6474 Å, 72.58 72.58 60.00°
Fractional positions:
Ba1 0.0000 0.0000 0.0000
Ge1 0.7685 0.7685 0.6944
Ge2 0.2315 0.2315 0.3056
P1 0.5000 0.5000 0.5000
O1 0.6977 0.6977 0.9069
O2 0.3023 0.3023 0.0931
O3 0.3935 0.3935 0.3738
O4 0.6065 0.6065 0.6262
O5 0.1609 0.6065 0.6262
O6 0.3935 0.8391 0.3738
O7 0.8391 0.3935 0.3738
O8 0.6065 0.1609 0.6262

Output
Raw formation energy = -1.6035 eV per atom
Space group = No. 166

***

Repeat the first record exactly.
## GeAuN2O (PBE)

Data for a relaxed structure of GeAuN2O.

Cell: 3.9308 3.9308 3.6954 Å, 90.00 90.00 90.00°
Fractional positions:
Ge1 0.0000 0.0000 0.0000
Au1 0.5000 0.5000 0.5000
O1 0.0000 0.0000 0.5000
N1 0.0000 0.5000 0.0000
N2 0.5000 0.0000 0.0000

Output
Raw formation energy = 1.0363 eV per atom
Space group = No. 123